(1)
Below is a PBEsol-optimized structure of Er2Se3, with properties calculated at the meta-GGA SCAN level.

The structure in POSCAR format:
```
Er2Se3
1.0
6.909 -0.002 0.000
-2.245 6.534 0.000
-2.332 -3.266 11.960
Se Er
12 8
Direct
0.911 0.914 0.337
0.254 0.254 0.000
0.996 0.496 0.500
0.673 0.175 0.837
0.425 0.423 0.337
0.825 0.327 0.163
0.164 0.661 0.837
0.339 0.836 0.163
0.086 0.089 0.663
0.504 0.004 0.500
0.577 0.575 0.663
0.746 0.746 0.000
0.002 0.502 0.005
0.834 0.334 0.668
0.416 0.416 0.832
0.498 0.998 0.995
0.248 0.248 0.495
0.752 0.752 0.505
0.666 0.166 0.332
0.584 0.584 0.168
```

## Properties
As for the uncorrected formation energy: -2.1054 eV per atom. The value obtained for the energy is -34.289 eV/atom. For the total magnetization, the calculation gives 0.0 μB/f.u.


(2)
Below is a PBEsol-optimized structure of Nb2CrGaHg, with properties calculated at the meta-GGA SCAN level.

The structure in POSCAR format:
```
Nb2CrGaHg
1.0
-2.249 -2.609 -2.794
-2.452 -1.785 3.639
-3.265 3.390 -0.537
Nb Ga Hg Cr
2 1 1 1
Direct
0.000 0.500 0.000
0.000 0.000 0.500
0.000 0.000 0.000
0.500 0.500 0.500
0.500 0.000 0.000
```

## Properties
The value obtained for the energy is -32.948 eV/atom. For the total magnetization, the calculation gives 1.7 μB/f.u. Its formation energy is 883 meV per atom.


(3)
Below is a PBEsol-optimized structure of Ni3S4, with properties calculated at the meta-GGA SCAN level.

The structure in POSCAR format:
```
Ni3S4
1.0
6.576 0.000 0.000
3.288 5.695 0.000
3.288 1.898 5.370
Ni S
6 8
Direct
0.625 0.625 0.625
0.625 0.125 0.625
0.250 0.250 0.250
0.625 0.625 0.125
0.125 0.625 0.625
0.000 0.000 0.000
0.866 0.866 0.401
0.384 0.384 0.849
0.866 0.866 0.866
0.384 0.384 0.384
0.866 0.401 0.866
0.384 0.849 0.384
0.849 0.384 0.384
0.401 0.866 0.866
```

## Properties
As for the uncorrected formation energy: -0.4754 eV per atom. The value obtained for the energy is -12.909 eV/atom. For the total magnetization, the calculation gives 0.0 μB/f.u.